# 1
A geometry-optimized HgPPdS2 structure, computed with PBE.

Output
Energy relative to the lowest polymorph listed for this composition: 0.0000 eV/atom
DFT total energy: -16.17 eV per cell
Uncorrected formation energy: 599 meV/atom
Density: 6.123 g cm⁻³

Structure (CIF):
```
data_HgPPdS2
_symmetry_space_group_name_H-M 'P 4/m m m'
_symmetry_Int_Tables_number 123
_symmetry_space_group_name_Hall '-P 4 2'
_cell_length_a 4.9501
_cell_length_b 4.9501
_cell_length_c 4.4506
_cell_angle_alpha 90.00
_cell_angle_beta 90.00
_cell_angle_gamma 90.00
loop_
_atom_site_label
_atom_site_type_symbol
_atom_site_fract_x
_atom_site_fract_y
_atom_site_fract_z
Hg1 Hg 0.0000 0.0000 0.0000
P1 P 0.5000 0.5000 0.0000
Pd1 Pd 0.5000 0.5000 0.5000
S1 S 0.0000 0.5000 0.5000
```


# 2
A geometry-optimized HgP2PdS structure, computed with PBE.

Output
Energy relative to the lowest polymorph listed for this composition: 0.0000 eV/atom
DFT total energy: -16.94 eV per cell
Uncorrected formation energy: 701 meV/atom
Density: 6.154 g cm⁻³

Structure (CIF):
```
data_HgP2PdS
_symmetry_space_group_name_H-M 'P 4/m m m'
_symmetry_Int_Tables_number 123
_symmetry_space_group_name_Hall '-P 4 2'
_cell_length_a 4.6432
_cell_length_b 4.6432
_cell_length_c 5.0192
_cell_angle_alpha 90.00
_cell_angle_beta 90.00
_cell_angle_gamma 90.00
loop_
_atom_site_label
_atom_site_type_symbol
_atom_site_fract_x
_atom_site_fract_y
_atom_site_fract_z
Hg1 Hg 0.0000 0.0000 0.0000
P1 P 0.0000 0.5000 0.5000
Pd1 Pd 0.5000 0.5000 0.5000
S1 S 0.5000 0.5000 0.0000
```


# 3
A geometry-optimized Sr3HgP2Pd9 structure, computed with PBE.

Output
DFT total energy: -70.60 eV per cell
Density: 7.499 g cm⁻³

Structure (CIF):
```
data_Sr3HgP2Pd9
_symmetry_space_group_name_H-M 'P -3 m 1'
_symmetry_Int_Tables_number 164
_symmetry_space_group_name_Hall '-P 3 2"'
_cell_length_a 7.1042
_cell_length_b 7.1042
_cell_length_c 7.5142
_cell_angle_alpha 90.00
_cell_angle_beta 90.00
_cell_angle_gamma 120.00
loop_
_atom_site_label
_atom_site_type_symbol
_atom_site_fract_x
_atom_site_fract_y
_atom_site_fract_z
Sr1 Sr 0.0000 0.0000 0.0000
Sr2 Sr 0.3333 0.6667 0.6736
Hg1 Hg 0.0000 0.0000 0.5000
P1 P 0.3333 0.6667 0.1327
Pd1 Pd 0.0000 0.5000 0.0000
Pd2 Pd 0.1910 0.3820 0.3278
```


# 4
A geometry-optimized Sr2HgPPd6 structure, computed with PBE.

Output
DFT total energy: -92.37 eV per cell
Density: 8.105 g cm⁻³

Structure (CIF):
```
data_Sr2HgPPd6
_symmetry_space_group_name_H-M 'P m m n'
_symmetry_Int_Tables_number 59
_cell_length_a 5.7310
_cell_length_b 8.9922
_cell_length_c 8.3112
_cell_angle_alpha 90.00
_cell_angle_beta 90.00
_cell_angle_gamma 90.00
loop_
_symmetry_equiv_pos_as_xyz
'x,y,z'
'-x,-y,-z'
'-x+1/2,-y+1/2,z'
'x+1/2,y+1/2,-z'
'x+1/2,-y,-z'
'-x+1/2,y,z'
'-x,y+1/2,-z'
'x,-y+1/2,z'
loop_
_atom_site_label
_atom_site_type_symbol
_atom_site_fract_x
_atom_site_fract_y
_atom_site_fract_z
Sr1 Sr 0.2500 0.0252 0.2203
Hg1 Hg 0.2500 0.7500 0.8004
P1 P 0.2500 0.2500 0.7082
Pd1 Pd 0.0028 0.7500 0.0793
Pd2 Pd 0.0143 0.7500 0.5021
Pd3 Pd 0.2500 0.0042 0.6003
```


# 5
A geometry-optimized SrHgP2Pd5 structure, computed with PBE.

Output
DFT total energy: -43.03 eV per cell
Density: 7.904 g cm⁻³

Structure (CIF):
```
data_SrHgP2Pd5
_symmetry_space_group_name_H-M 'P 4/m m m'
_symmetry_Int_Tables_number 123
_symmetry_space_group_name_Hall '-P 4 2'
_cell_length_a 4.3769
_cell_length_b 4.3769
_cell_length_c 9.6753
_cell_angle_alpha 90.00
_cell_angle_beta 90.00
_cell_angle_gamma 90.00
loop_
_atom_site_label
_atom_site_type_symbol
_atom_site_fract_x
_atom_site_fract_y
_atom_site_fract_z
Sr1 Sr 0.0000 0.0000 0.0000
Hg1 Hg 0.0000 0.0000 0.5000
P1 P 0.5000 0.5000 0.2353
Pd1 Pd 0.0000 0.5000 0.3139
Pd2 Pd 0.5000 0.5000 0.0000
```


# 6
A geometry-optimized PmHgP structure, computed with PBE.

Output
Energy relative to the lowest polymorph listed for this composition: 0.0000 eV/atom
DFT total energy: -50.92 eV per cell
Density: 8.431 g cm⁻³

Structure (CIF):
```
data_PmHgP
_symmetry_space_group_name_H-M 'P 1 21/c 1'
_symmetry_Int_Tables_number 14
_symmetry_space_group_name_Hall '-P 2ybc'
_cell_length_a 5.2294
_cell_length_b 7.9664
_cell_length_c 7.1764
_cell_angle_alpha 90.00
_cell_angle_beta 97.14
_cell_angle_gamma 90.00
loop_
_atom_site_label
_atom_site_type_symbol
_atom_site_fract_x
_atom_site_fract_y
_atom_site_fract_z
Pm1 Pm 0.1742 0.0844 0.3044
Hg1 Hg 0.2948 0.6934 0.4932
P1 P 0.3401 0.0908 0.7029
```